[1]
10
Lattice="3.492 0.000 0.000 1.671 8.499 0.000 0.022 0.243 11.121" Properties=species:S:1:pos:R:3 comment="Nd4Er5Sc | Alexandria | PBE-GGA | relaxed" dos_at_fermi_per_ev_fu=13.93 magnetic_moment_mub_per_fu=0.0 formation_energy_ev_per_atom=0.19 pbc="T T T"
Nd 0.838 3.819 2.713
Nd 2.616 7.054 2.810
Nd 2.570 1.689 8.311
Nd 4.347 4.923 8.408
Er 0.847 1.377 0.494
Er 0.865 1.419 4.966
Er 2.593 4.371 5.560
Er 4.320 7.323 6.154
Er 4.338 7.366 10.627
Sc 2.582 4.250 0.000



[2]
10
Lattice="0.000 5.528 10.673 2.812 0.000 10.673 2.812 5.528 0.000" Properties=species:S:1:pos:R:3 comment="NdEr2Sc2 | Alexandria | PBE-GGA | relaxed" dos_at_fermi_per_ev_fu=9.13 magnetic_moment_mub_per_fu=0.0 formation_energy_ev_per_atom=0.54 pbc="T T T"
Nd 0.703 1.382 2.668
Nd 4.920 9.675 18.677
Er 2.109 2.293 8.005
Er 3.515 5.057 13.341
Er 2.109 5.999 8.005
Er 3.515 8.764 13.341
Sc 0.000 0.000 0.000
Sc 1.406 2.764 0.000
Sc 1.406 0.000 5.336
Sc 0.000 2.764 5.336



[3]
12
Lattice="7.269 -4.881 0.000 7.269 4.881 0.000 0.000 0.000 5.525" Properties=species:S:1:pos:R:3 comment="Nd3ErSc2 | Alexandria | PBE-GGA | relaxed" dos_at_fermi_per_ev_fu=10.65 magnetic_moment_mub_per_fu=0.0 formation_energy_ev_per_atom=0.27 pbc="T T T"
Nd 7.269 3.989 4.144
Nd 3.567 1.313 1.381
Nd 3.567 -1.313 4.144
Nd 10.972 1.313 1.381
Nd 10.972 -1.313 4.144
Nd 7.269 -3.989 1.381
Er 7.269 2.148 1.381
Er 7.269 -2.148 4.144
Sc 5.773 0.910 4.144
Sc 5.773 -0.910 1.381
Sc 8.766 0.910 4.144
Sc 8.766 -0.910 1.381



[4]
20
Lattice="5.075 0.000 0.000 0.000 5.075 0.000 0.000 0.000 25.297" Properties=species:S:1:pos:R:3 comment="Nd15ErSc4 | Alexandria | PBE-GGA | relaxed" dos_at_fermi_per_ev_fu=23.48 magnetic_moment_mub_per_fu=0.0 formation_energy_ev_per_atom=0.03 pbc="T T T"
Nd 0.000 0.000 0.000
Nd 0.000 0.000 5.111
Nd 0.000 0.000 10.134
Nd 0.000 0.000 15.163
Nd 0.000 0.000 20.186
Nd 0.000 2.537 2.598
Nd 0.000 2.537 7.622
Nd 0.000 2.537 12.649
Nd 0.000 2.537 17.675
Nd 0.000 2.537 22.700
Nd 2.537 0.000 2.598
Nd 2.537 0.000 7.622
Nd 2.537 0.000 12.649
Nd 2.537 0.000 17.675
Nd 2.537 0.000 22.700
Er 2.537 2.537 0.000
Sc 2.537 2.537 5.109
Sc 2.537 2.537 10.134
Sc 2.537 2.537 15.164
Sc 2.537 2.537 20.188



[5]
6
Lattice="1.771 1.023 16.765 -1.771 1.023 16.765 0.000 -2.045 16.765" Properties=species:S:1:pos:R:3 comment="NdEr4Sc | Alexandria | PBE-GGA | relaxed" dos_at_fermi_per_ev_fu=9.72 magnetic_moment_mub_per_fu=0.0 formation_energy_ev_per_atom=0.02 pbc="T T T"
Nd 0.000 0.000 0.000
Er 0.000 0.000 5.724
Er 0.000 0.000 19.681
Er 0.000 0.000 30.614
Er 0.000 0.000 44.572
Sc 0.000 0.000 25.148



[6]
18
Lattice="7.625 -7.684 0.000 7.625 7.684 0.000 0.000 0.000 5.126" Properties=species:S:1:pos:R:3 comment="Nd12Er5Sc | Alexandria | PBE-GGA | relaxed" dos_at_fermi_per_ev_fu=28.89 magnetic_moment_mub_per_fu=0.0 formation_energy_ev_per_atom=0.03 pbc="T T T"
Nd 5.135 5.140 2.563
Nd 2.469 0.000 0.000
Nd 5.108 2.565 0.000
Nd 10.114 5.140 2.563
Nd 5.100 0.000 2.563
Nd 10.141 2.565 0.000
Nd 5.108 -2.565 0.000
Nd 10.150 0.000 2.563
Nd 5.135 -5.140 2.563
Nd 10.141 -2.565 0.000
Nd 12.781 0.000 0.000
Nd 10.114 -5.140 2.563
Er 7.625 5.144 0.000
Er 7.625 2.555 2.563
Er 7.625 0.000 0.000
Er 7.625 -2.555 2.563
Er 7.625 -5.144 0.000
Sc 0.000 0.000 2.563



Please write out number 2 again, unchanged.
10
Lattice="0.000 5.528 10.673 2.812 0.000 10.673 2.812 5.528 0.000" Properties=species:S:1:pos:R:3 comment="NdEr2Sc2 | Alexandria | PBE-GGA | relaxed" dos_at_fermi_per_ev_fu=9.13 magnetic_moment_mub_per_fu=0.0 formation_energy_ev_per_atom=0.54 pbc="T T T"
Nd 0.703 1.382 2.668
Nd 4.920 9.675 18.677
Er 2.109 2.293 8.005
Er 3.515 5.057 13.341
Er 2.109 5.999 8.005
Er 3.515 8.764 13.341
Sc 0.000 0.000 0.000
Sc 1.406 2.764 0.000
Sc 1.406 0.000 5.336
Sc 0.000 2.764 5.336